Record 1
## Cs12Ga3H5 (PBE-GGA)

Data for Cs12Ga3H5 after structural relaxation.

Unit cell a=17.4990 b=17.4990 c=17.4990 alpha=109.47 beta=109.47 gamma=109.47
With the nearest neighbours (Å) after each atom.
Positions (direct):
Cs: 0.4020 0.3773 0.5817  2 H 2.99-3.29
Cs: 0.5817 0.8773 0.4020  2 H 2.99-3.29
Cs: 0.0817 0.1797 0.2044  2 H 2.99-3.29
Cs: 0.0247 0.4020 0.8203  2 H 2.99-3.29
Cs: 0.8773 0.5817 0.9020  2 H 2.99-3.29
Ga: 0.6250 0.2500 0.3750  8 Cs 3.84-4.05
Ga: 0.7500 0.8750 0.6250  8 Cs 3.84-4.05
H: 0.5000 0.5000 0.5000  6 Cs 3.29
Cs: 0.2956 0.4183 0.8203  2 H 2.99-3.29
H: 0.0000 0.5000 0.0000  6 Cs 3.29
Cs: 0.7044 0.5817 0.1797  2 H 2.99-3.29
Cs: 0.8203 0.9020 0.0247  2 H 2.99-3.29
H: 0.6250 0.7500 0.8750  4 Cs 2.99
H: 0.1250 0.7500 0.3750  4 Cs 2.99
H: 0.0000 0.0000 0.5000  6 Cs 3.29
H: 0.5000 0.0000 0.5000  6 Cs 3.29
Cs: 0.3203 0.7956 0.4183  2 H 2.99-3.29
Ga: 0.3750 0.6250 0.2500  8 Cs 3.84-4.05
H: 0.1250 0.3750 0.2500  4 Cs 2.99
Cs: 0.4753 0.7956 0.8773  2 H 2.99-3.29
Cs: 0.5980 0.9753 0.6797  2 H 2.99-3.29
H: 0.3750 0.1250 0.7500  4 Cs 2.99
Cs: 0.5247 0.2044 0.1227  2 H 2.99-3.29
Cs: 0.9020 0.8203 0.5247  2 H 2.99-3.29
Cs: 0.0980 0.9183 0.1227  2 H 2.99-3.29
Cs: 0.0247 0.6227 0.7044  2 H 2.99-3.29
Cs: 0.1797 0.0817 0.7044  2 H 2.99-3.29
Cs: 0.9020 0.0817 0.8773  2 H 2.99-3.29
Cs: 0.3773 0.9753 0.7956  2 H 2.99-3.29
Cs: 0.7956 0.3203 0.9183  2 H 2.99-3.29
H: 0.2500 0.3750 0.6250  4 Cs 2.99
Cs: 0.9183 0.8203 0.7956  2 H 2.99-3.29
Cs: 0.9183 0.0980 0.6227  2 H 2.99-3.29
Cs: 0.4183 0.2956 0.3203  2 H 2.99-3.29
Cs: 0.1227 0.4183 0.0980  2 H 2.99-3.29
Cs: 0.8773 0.2956 0.4753  2 H 2.99-3.29
Ga: 0.3750 0.7500 0.6250  8 Cs 3.84-4.05
Ga: 0.7500 0.3750 0.1250  8 Cs 3.84-4.05
Ga: 0.2500 0.6250 0.8750  8 Cs 3.84-4.05
H: 0.2500 0.8750 0.1250  4 Cs 2.99
Cs: 0.6797 0.2044 0.5817  2 H 2.99-3.29
Cs: 0.6227 0.0247 0.2044  2 H 2.99-3.29
Ga: 0.6250 0.3750 0.7500  8 Cs 3.84-4.05
Cs: 0.5247 0.3203 0.9020  2 H 2.99-3.29
H: 0.5000 0.5000 0.0000  6 Cs 3.29
Cs: 0.6227 0.5980 0.9183  2 H 2.99-3.29
Cs: 0.4183 0.1227 0.5980  2 H 2.99-3.29
Cs: 0.0980 0.1797 0.4753  2 H 2.99-3.29
H: 0.8750 0.2500 0.6250  4 Cs 2.99
Cs: 0.5980 0.6227 0.4183  2 H 2.99-3.29
Cs: 0.5817 0.7044 0.6797  2 H 2.99-3.29
Cs: 0.8203 0.9183 0.2956  2 H 2.99-3.29
Ga: 0.8750 0.7500 0.1250  8 Cs 3.84-4.05
Cs: 0.3203 0.5247 0.4020  2 H 2.99-3.29
Cs: 0.1227 0.7044 0.5247  2 H 2.99-3.29
Cs: 0.9753 0.3773 0.2956  2 H 2.99-3.29
H: 0.0000 0.0000 0.0000  6 Cs 3.29
Cs: 0.0817 0.9020 0.3773  2 H 2.99-3.29
Cs: 0.1797 0.0980 0.9753  2 H 2.99-3.29
Ga: 0.8750 0.1250 0.2500  8 Cs 3.84-4.05
Cs: 0.2044 0.5247 0.6227  2 H 2.99-3.29
Ga: 0.1250 0.8750 0.7500  8 Cs 3.84-4.05
Cs: 0.2044 0.6797 0.0817  2 H 2.99-3.29
H: 0.0000 0.5000 0.5000  6 Cs 3.29
Cs: 0.9753 0.5980 0.1797  2 H 2.99-3.29
Cs: 0.6797 0.4753 0.5980  2 H 2.99-3.29
H: 0.8750 0.6250 0.7500  4 Cs 2.99
Cs: 0.4753 0.6797 0.0980  2 H 2.99-3.29
H: 0.7500 0.6250 0.3750  4 Cs 2.99
H: 0.7500 0.1250 0.8750  4 Cs 2.99
H: 0.6250 0.8750 0.2500  4 Cs 2.99
Ga: 0.1250 0.2500 0.8750  8 Cs 3.84-4.05
Cs: 0.7956 0.4753 0.3773  2 H 2.99-3.29
Cs: 0.7044 0.1227 0.0247  2 H 2.99-3.29
H: 0.5000 0.0000 0.0000  6 Cs 3.29
Ga: 0.2500 0.1250 0.3750  8 Cs 3.84-4.05
Cs: 0.4020 0.0247 0.3203  2 H 2.99-3.29
Cs: 0.3773 0.4020 0.0817  2 H 2.99-3.29
H: 0.3750 0.2500 0.1250  4 Cs 2.99
Cs: 0.2956 0.8773 0.9753  2 H 2.99-3.29

Record 2
## Cs2GaH (PBE-GGA)

Data for Cs2GaH after structural relaxation.

Unit cell a=6.1774 b=6.1774 c=6.1774 alpha=60.00 beta=60.00 gamma=60.00
With the nearest neighbours (Å) after each atom.
Positions (direct):
Ga: 0.5000 0.5000 0.5000  8 Cs 3.78
H: 0.0000 0.0000 0.0000  8 Cs 3.78
Cs: 0.2500 0.2500 0.2500  4 H 3.78, 4 Ga 3.78
Cs: 0.7500 0.7500 0.7500  4 Ga 3.78, 4 H 3.78

Output
- offset from the most stable computed form (eV per formula unit) = 0.412

Record 3
## Cs3Ga2H6 (PBE-GGA)

Data for Cs3Ga2H6 after structural relaxation.

Unit cell a=5.1536 b=8.4795 c=14.0841 alpha=90.00 beta=90.00 gamma=90.00
With the nearest neighbours (Å) after each atom.
Positions (direct):
H: 0.6452 0.1728 0.5000  1 Ga 1.63
Cs: 0.0000 0.5000 0.8158  4 H 3.07-3.34
Cs: 0.5000 0.0000 0.3158  4 H 3.07-3.34
Ga: 0.0414 0.8548 0.5000  3 H 1.63
H: 0.0580 0.2446 0.5922  1 Ga 1.63
H: 0.4420 0.7446 0.9078  1 Ga 1.63
Cs: 0.5000 0.5000 0.5000  2 H 2.87
Ga: 0.9586 0.1452 0.5000  3 H 1.63
H: 0.3548 0.8272 0.5000  1 Ga 1.63
H: 0.4420 0.7446 0.0922  1 Ga 1.63
H: 0.5580 0.2554 0.9078  1 Ga 1.63
H: 0.8548 0.6728 0.0000  1 Ga 1.63
Ga: 0.4586 0.3548 0.0000  3 H 1.63
H: 0.9420 0.7554 0.4078  1 Ga 1.63
Ga: 0.5414 0.6452 0.0000  3 H 1.63
H: 0.1452 0.3272 0.0000  1 Ga 1.63
H: 0.0580 0.2446 0.4078  1 Ga 1.63
Cs: 0.0000 0.0000 0.0000  2 H 2.87
H: 0.5580 0.2554 0.0922  1 Ga 1.63
Cs: 0.5000 0.0000 0.6842  4 H 3.07-3.34
H: 0.9420 0.7554 0.5922  1 Ga 1.63
Cs: 0.0000 0.5000 0.1842  4 H 3.07-3.34

Record 4
## CsGaH4 (PBE-GGA)

Data for CsGaH4 after structural relaxation.

Unit cell a=5.0772 b=6.2783 c=8.2631 alpha=112.33 beta=118.02 gamma=90.00
With the nearest neighbours (Å) after each atom.
Positions (direct):
Cs: 0.0302 0.1545 0.3089  11 H 3.03-3.29
Ga: 0.2789 0.5978 0.1955  3 H 1.60-1.66
H: 0.4789 0.5715 0.7396  1 Ga 1.66
H: 0.8595 0.3285 0.6569  1 Ga 1.60
Ga: 0.7211 0.4022 0.8045  3 H 1.60-1.66
H: 0.5211 0.4285 0.2604  1 Ga 1.66
H: 0.0000 0.6839 0.0000  2 Ga 1.85
H: 0.0000 0.3161 0.0000  2 Ga 1.85
Cs: 0.9698 0.8455 0.6911  11 H 3.03-3.29
H: 0.4789 0.1681 0.7396  1 Ga 1.66
H: 0.5211 0.8319 0.2604  1 Ga 1.66
H: 0.1405 0.6715 0.3431  1 Ga 1.60

We obtain total energy values of -1.7536, -1.6503, -2.7848, -2.9389 eV/atom for the records listed above, in that order.